The following is a DFT calculation (PBE) of crystalline YHIBr at its relaxed geometry.

abc: 6.812 3.933 8.206
angles: 90.00 106.14 90.00
Space group Cm (No. 8)
Unique sites:
Y 0.000 0.000 0.000 [2 per cell]
H 0.165 0.500 0.995 [2 per cell]
I 0.242 0.000 0.728 [2 per cell]
Br 0.413 0.000 0.239 [2 per cell]

Calculated total energy = -4.611 eV/atom

=====

The following is a DFT calculation (PBE) of crystalline GeBO2 at its relaxed geometry.

abc: 4.742 4.742 7.030
angles: 90.00 90.00 90.00
Space group I-42d (No. 122)
Unique sites:
Ge 0.000 0.000 0.000 [4 per cell]
B 0.000 0.000 0.500 [4 per cell]
O 0.055 0.250 0.625 [8 per cell]

Excess energy over the best structure of this formula in the dataset = 0.009 eV/atom
Calculated total energy = -6.445 eV/atom
E_form (uncorrected) = -1.142 eV per atom